First-principles (PBE-GGA) data for a relaxed Nd4SmAl4 crystal, as listed in Alexandria.

Results
DFT total energy	-4.4517	eV/atom
density	5.7	Mg/m³
energy of formation from the pure elements	-0.1450	eV per atom

Unit cell a=8.920 b=8.920 c=6.092 alpha=90.00 beta=90.00 gamma=90.00
Atoms (fractional coordinates):
Nd1 0.079 0.824 0.128
Nd2 0.176 0.579 0.628
Nd3 0.324 0.921 0.628
Nd4 0.421 0.676 0.128
Nd5 0.579 0.324 0.872
Nd6 0.676 0.079 0.372
Nd7 0.824 0.421 0.372
Nd8 0.921 0.176 0.872
Sm1 0.250 0.250 0.750
Sm2 0.750 0.750 0.250
Al1 0.061 0.159 0.349
Al2 0.159 0.439 0.151
Al3 0.341 0.061 0.151
Al4 0.439 0.341 0.349
Al5 0.561 0.659 0.651
Al6 0.659 0.939 0.849
Al7 0.841 0.561 0.849
Al8 0.939 0.841 0.651